First-principles (PBE) data for a geometry-optimized ReSi2Pb structure, as listed in the Alexandria database.

Output
Calculated volume: 72.78 Å³/f.u.
E_tot: -26.26 eV per cell
Space group: No. 123
E_form (uncorrected): 0.19 eV/atom

```
ReSi2Pb
1.0
3.119 0.000 0.000
0.000 3.119 0.000
0.000 0.000 7.482
Re Si Pb
1 2 1
Direct
0.000 0.000 0.000
0.500 0.500 0.178
0.500 0.500 0.822
0.000 0.000 0.500
```

First-principles (PBE) data for a geometry-optimized TaIrPb2Se structure, as listed in the Alexandria database.

Output
Calculated volume: 148.39 Å³/f.u.
E_tot: -26.81 eV per cell
Space group: No. 123
E_form (uncorrected): 0.96 eV/atom

```
TaIrPb2Se
1.0
5.605 0.000 0.000
0.000 5.605 0.000
0.000 0.000 4.723
Ta Ir Pb Se
1 1 2 1
Direct
0.000 0.000 0.000
0.000 0.000 0.500
0.000 0.500 0.000
0.500 0.000 0.000
0.500 0.500 0.500
```

First-principles (PBE) data for a geometry-optimized YMg2Cu structure, as listed in the Alexandria database.

Output
Calculated volume: 91.95 Å³/f.u.
E_tot: -25.77 eV per cell
Space group: No. 59
DFT formation energy: 0.865 eV per formula unit

```
YMg2Cu
1.0
3.069 0.000 0.000
0.000 5.136 0.000
0.000 0.000 11.665
Y Mg Cu
2 4 2
Direct
0.250 0.250 0.058
0.750 0.750 0.942
0.250 0.250 0.376
0.250 0.750 0.211
0.750 0.250 0.789
0.750 0.750 0.624
0.250 0.250 0.602
0.750 0.750 0.398
```

First-principles (PBE) data for a geometry-optimized Sn2SbTe3 structure, as listed in the Alexandria database.

Output
Calculated volume: 212.20 Å³/f.u.
E_tot: -22.02 eV per cell
Space group: No. 65
E_form (uncorrected): -0.08 eV/atom

```
Sn2SbTe3
1.0
3.204 -7.704 0.000
3.204 7.704 0.000
0.000 0.000 4.298
Sn Sb Te
2 1 3
Direct
0.149 0.851 0.000
0.851 0.149 0.000
0.500 0.500 0.500
0.000 0.000 0.500
0.357 0.643 0.000
0.643 0.357 0.000
```

First-principles (PBE) data for a geometry-optimized Nd3Pd structure, as listed in the Alexandria database.

Output
Calculated volume: 113.34 Å³/f.u.
E_tot: -20.01 eV per cell
Space group: No. 139
DFT formation energy: -0.513 eV per formula unit

```
Nd3Pd
1.0
-2.273 2.273 5.486
2.273 -2.273 5.486
2.273 2.273 -5.486
Nd Pd
3 1
Direct
0.000 0.000 0.000
0.250 0.750 0.500
0.750 0.250 0.500
0.500 0.500 0.000
```

First-principles (PBE) data for a geometry-optimized TmNi4Pt structure, as listed in the Alexandria database.

Output
Calculated volume: 81.52 Å³/f.u.
E_tot: -36.26 eV per cell
Space group: No. 216
DFT formation energy: -2.627 eV per formula unit

```
TmNi4Pt
1.0
0.000 3.441 3.441
3.441 0.000 3.441
3.441 3.441 0.000
Tm Ni Pt
1 4 1
Direct
0.000 0.000 0.000
0.128 0.624 0.624
0.624 0.128 0.624
0.624 0.624 0.128
0.624 0.624 0.624
0.250 0.250 0.250
```

First-principles (PBE) data for a geometry-optimized MnCuCSeN structure, as listed in the Alexandria database.

Output
Calculated volume: 71.44 Å³/f.u.
E_tot: -33.23 eV per cell
Space group: No. 1
E_form (uncorrected): 0.21 eV/atom

```
MnCuCSeN
1.0
3.473 0.000 0.000
1.159 3.617 0.000
1.511 -0.006 5.687
Mn Cu C Se N
1 1 1 1 1
Direct
0.000 0.000 0.000
0.130 0.369 0.579
0.563 0.787 0.966
0.838 0.991 0.411
0.898 0.513 0.926
```

First-principles (PBE) data for a geometry-optimized Pr2ReN4 structure, as listed in the Alexandria database.

Output
Calculated volume: 116.75 Å³/f.u.
E_tot: -122.02 eV per cell
Space group: No. 11
E_form (uncorrected): -0.81 eV/atom

```
Pr2ReN4
1.0
6.040 0.000 0.000
0.000 5.929 0.000
-2.138 0.000 6.521
Pr Re N
4 2 8
Direct
0.195 0.250 0.042
0.263 0.250 0.563
0.737 0.750 0.437
0.805 0.750 0.958
0.265 0.750 0.808
0.735 0.250 0.192
0.048 0.513 0.752
0.048 0.987 0.752
0.438 0.750 0.079
0.449 0.750 0.638
0.551 0.250 0.362
0.562 0.250 0.921
0.952 0.013 0.248
0.952 0.487 0.248
```

First-principles (PBE) data for a geometry-optimized TbPrDyAl structure, as listed in the Alexandria database.

Output
Calculated volume: 113.10 Å³/f.u.
E_tot: -17.91 eV per cell
Space group: No. 216
DFT formation energy: -0.158 eV per formula unit

```
TbPrDyAl
1.0
0.000 3.838 3.838
3.838 0.000 3.838
3.838 3.838 0.000
Tb Pr Dy Al
1 1 1 1
Direct
0.000 0.000 0.000
0.750 0.750 0.750
0.250 0.250 0.250
0.500 0.500 0.500
```

First-principles (PBE) data for a geometry-optimized Li5Tl2Hg2 structure, as listed in the Alexandria database.

Output
Calculated volume: 187.89 Å³/f.u.
E_tot: -33.66 eV per cell
Space group: No. 64
DFT formation energy: -1.927 eV per formula unit

```
Li5Tl2Hg2
1.0
7.165 -3.857 0.000
7.165 3.857 0.000
0.000 0.000 6.799
Li Tl Hg
10 4 4
Direct
0.000 0.000 0.000
0.045 0.689 0.669
0.189 0.545 0.169
0.311 0.955 0.669
0.455 0.811 0.169
0.500 0.500 0.500
0.545 0.189 0.831
0.689 0.045 0.331
0.811 0.455 0.831
0.955 0.311 0.331
0.212 0.212 0.000
0.288 0.288 0.500
0.712 0.712 0.500
0.788 0.788 0.000
0.149 0.851 0.366
0.351 0.649 0.866
0.649 0.351 0.134
0.851 0.149 0.634
```

First-principles (PBE) data for a geometry-optimized Cd2GePd6 structure, as listed in the Alexandria database.

Output
Calculated volume: 148.83 Å³/f.u.
E_tot: -40.03 eV per cell
Space group: No. 162
DFT formation energy: -2.425 eV per formula unit

```
Cd2GePd6
1.0
7.729 0.000 0.000
-3.864 6.693 0.000
0.000 0.000 2.877
Cd Ge Pd
2 1 6
Direct
0.333 0.667 0.000
0.667 0.333 0.000
0.000 0.000 0.500
0.000 0.324 0.282
0.000 0.676 0.718
0.324 0.000 0.282
0.324 0.324 0.718
0.676 0.000 0.718
0.676 0.676 0.282
```

First-principles (PBE) data for a geometry-optimized Zr4SiMo structure, as listed in the Alexandria database.

Output
Calculated volume: 123.16 Å³/f.u.
E_tot: -47.01 eV per cell
Space group: No. 216
E_form (uncorrected): 0.57 eV/atom

```
Zr4SiMo
1.0
0.000 3.949 3.949
3.949 0.000 3.949
3.949 3.949 0.000
Zr Si Mo
4 1 1
Direct
0.124 0.124 0.124
0.124 0.124 0.629
0.124 0.629 0.124
0.629 0.124 0.124
0.500 0.500 0.500
0.750 0.750 0.750
```

First-principles (PBE) data for a geometry-optimized CsSeS3 structure, as listed in the Alexandria database.

Output
Calculated volume: 128.29 Å³/f.u.
E_tot: -16.54 eV per cell
Space group: No. 221
E_form (uncorrected): 0.04 eV/atom

```
CsSeS3
1.0
5.043 0.000 0.000
0.000 5.043 0.000
0.000 0.000 5.043
Cs Se S
1 1 3
Direct
0.000 0.000 0.000
0.500 0.500 0.500
0.000 0.500 0.500
0.500 0.000 0.500
0.500 0.500 0.000
```

First-principles (PBE) data for a geometry-optimized AlZn structure, as listed in the Alexandria database.

Output
Calculated volume: 31.81 Å³/f.u.
E_tot: -4.98 eV per cell
Space group: No. 166
DFT formation energy: 0.033 eV per formula unit

```
AlZn
1.0
1.421 0.821 4.547
-1.421 0.821 4.547
0.000 -1.641 4.547
Al Zn
1 1
Direct
0.000 0.000 0.000
0.500 0.500 0.500
```

First-principles (PBE) data for a geometry-optimized Ba2GePb structure, as listed in the Alexandria database.

Output
Calculated volume: 143.11 Å³/f.u.
E_tot: -13.89 eV per cell
Space group: No. 123
DFT formation energy: -1.717 eV per formula unit

```
Ba2GePb
1.0
3.836 0.000 0.000
0.000 3.836 0.000
0.000 0.000 9.724
Ba Ge Pb
2 1 1
Direct
0.000 0.000 0.226
0.000 0.000 0.774
0.500 0.500 0.000
0.500 0.500 0.500
```

First-principles (PBE) data for a geometry-optimized ZrBePt3 structure, as listed in the Alexandria database.

Output
Calculated volume: 79.96 Å³/f.u.
E_tot: -33.11 eV per cell
Space group: No. 221
DFT formation energy: -2.714 eV per formula unit

```
ZrBePt3
1.0
4.308 0.000 0.000
0.000 4.308 0.000
0.000 0.000 4.308
Zr Be Pt
1 1 3
Direct
0.000 0.000 0.000
0.500 0.500 0.500
0.000 0.500 0.500
0.500 0.000 0.500
0.500 0.500 0.000
```